Compound: RbTeI2O
Source: the Alexandria database
Functional: GGA-PBE
Structure: relaxed

Results
**Electronic total energy**: -1.924 eV per atom
**Raw formation energy**: 509 meV per atom
**Spin magnetization**: 0.0 μB per formula unit
**Density of states at the Fermi level**: 6.087 states/eV/cell

Structure (CIF):
```
data_RbTeI2O
_cell_length_a 6.562
_cell_length_b 6.562
_cell_length_c 4.199
_cell_angle_alpha 90.00
_cell_angle_beta 90.00
_cell_angle_gamma 90.00
_space_group_name_H-M_alt 'P 4/m m m'
_space_group_IT_number 123
_space_group_name_Hall '-P 4 2'
loop_
_atom_site_label
_atom_site_type_symbol
_atom_site_fract_x
_atom_site_fract_y
_atom_site_fract_z
Rb1 Rb 0.000 0.000 0.000
Te1 Te 0.500 0.500 0.500
I1 I 0.000 0.500 0.000
O1 O 0.000 0.000 0.500
```

***

Compound: RbTeI2O
Source: the Alexandria database
Functional: GGA-PBE
Structure: relaxed

Results
**Electronic total energy**: -3.197 eV per atom
**Raw formation energy**: -763 meV per atom
**Spin magnetization**: 0.0 μB per formula unit
**Density of states at the Fermi level**: 0.619 states/eV/cell

Structure (CIF):
```
data_RbTeI2O
_cell_length_a 6.427
_cell_length_b 6.427
_cell_length_c 4.163
_cell_angle_alpha 90.00
_cell_angle_beta 90.00
_cell_angle_gamma 90.00
_space_group_name_H-M_alt 'P 4/m m m'
_space_group_IT_number 123
_space_group_name_Hall '-P 4 2'
loop_
_atom_site_label
_atom_site_type_symbol
_atom_site_fract_x
_atom_site_fract_y
_atom_site_fract_z
Rb1 Rb 0.000 0.000 0.000
Te1 Te 0.500 0.500 0.500
I1 I 0.000 0.500 0.500
O1 O 0.500 0.500 0.000
```

***

Compound: RbTeI2O
Source: the Alexandria database
Functional: GGA-PBE
Structure: relaxed

Results
**Electronic total energy**: -2.706 eV per atom
**Raw formation energy**: -273 meV per atom
**Spin magnetization**: 0.0 μB per formula unit
**Density of states at the Fermi level**: 2.306 states/eV/cell

Structure (CIF):
```
data_RbTeI2O
_cell_length_a 5.581
_cell_length_b 5.581
_cell_length_c 4.682
_cell_angle_alpha 90.00
_cell_angle_beta 90.00
_cell_angle_gamma 90.00
_space_group_name_H-M_alt 'P 4/m m m'
_space_group_IT_number 123
_space_group_name_Hall '-P 4 2'
loop_
_atom_site_label
_atom_site_type_symbol
_atom_site_fract_x
_atom_site_fract_y
_atom_site_fract_z
Rb1 Rb 0.000 0.000 0.000
Te1 Te 0.500 0.500 0.000
I1 I 0.000 0.500 0.500
O1 O 0.500 0.500 0.500
```